## 1
A geometry-optimized TlFe2Si structure, computed with PBE-GGA.

extended XYZ file:
```
8
Lattice="-2.0706 2.0706 8.3712 2.0706 -2.0706 8.3712 2.0706 2.0706 -8.3712" Properties=species:S:1:pos:R:3 pbc="T T T"
Tl 0.0000 0.0000 0.0000
Tl 0.0000 2.0706 4.1856
Fe 1.0353 -0.5995 6.2784
Fe 1.4712 1.0353 2.0928
Fe 1.0353 2.6701 -2.0928
Fe 0.5995 1.0353 10.4640
Si 2.0706 0.0000 4.1856
Si 0.0000 0.0000 8.3712
```

Output
V: 71.8 Å³/f.u.
symmetry: I-42d
total magnetization: 1.209 μB per atom

=====

## 2
A geometry-optimized TlFe2Si structure, computed with PBE-GGA.

extended XYZ file:
```
4
Lattice="3.0225 0.0000 0.0000 0.0000 2.9152 0.0000 -0.9694 0.0000 6.8059" Properties=species:S:1:pos:R:3 pbc="T T T"
Tl 0.0000 0.0000 0.0000
Fe 1.0288 1.4576 2.2094
Fe 1.0242 1.4576 4.5965
Si -0.4847 0.0000 3.4029
```

Output
V: 60.0 Å³/f.u.
symmetry: P2/m
total magnetization: 0.846 μB per atom

=====

Which one sits at the bottom of the stability order? 1 does.

=====

## 1
A geometry-optimized TlFe2Si structure, computed with PBE-GGA.

extended XYZ file:
```
4
Lattice="3.0750 0.0000 0.0000 0.0000 3.0750 0.0000 0.0000 0.0000 6.6511" Properties=species:S:1:pos:R:3 pbc="T T T"
Tl 0.0000 0.0000 0.0000
Fe 0.0000 0.0000 3.2609
Fe 1.5375 1.5375 1.8887
Si 1.5375 1.5375 4.2775
```

Output
V: 62.9 Å³/f.u.
symmetry: P4mm
total magnetization: 1.072 μB per atom

=====

## 2
A geometry-optimized TlFe2Si structure, computed with PBE-GGA.

extended XYZ file:
```
4
Lattice="1.4844 0.8570 7.7634 -1.4844 0.8570 7.7634 0.0000 -1.7141 7.7634" Properties=species:S:1:pos:R:3 pbc="T T T"
Tl 0.0000 0.0000 0.0000
Fe 0.0000 0.0000 5.5362
Fe 0.0000 0.0000 17.7540
Si 0.0000 0.0000 11.6451
```

Output
V: 59.3 Å³/f.u.
symmetry: R-3m
total magnetization: 0.712 μB per atom

=====

Which one sits at the bottom of the stability order? 2 does.

=====

## 1
A geometry-optimized TlFe2Si structure, computed with PBE-GGA.

extended XYZ file:
```
4
Lattice="3.9843 -1.5975 0.0000 3.9843 1.5975 0.0000 -0.6545 0.0000 5.3124" Properties=species:S:1:pos:R:3 pbc="T T T"
Tl 0.0000 0.0000 0.0000
Fe 1.4055 0.0000 3.6069
Fe 3.7786 0.0000 2.7045
Si 6.0688 0.0000 2.0673
```

Output
V: 67.6 Å³/f.u.
symmetry: Cm
total magnetization: 1.058 μB per atom

=====

## 2
A geometry-optimized TlFe2Si structure, computed with PBE-GGA.

extended XYZ file:
```
4
Lattice="-1.4273 1.7814 6.2652 1.4273 -1.7814 6.2652 1.4273 1.7814 -6.2652" Properties=species:S:1:pos:R:3 pbc="T T T"
Tl 0.0000 0.0000 0.0000
Fe 1.4273 0.0000 2.4451
Fe 0.0000 0.0000 4.4943
Si 0.0000 1.7814 2.9430
```

Output
V: 63.7 Å³/f.u.
symmetry: Imm2
total magnetization: 0.816 μB per atom

=====

Which one sits at the bottom of the stability order? 1 does.

=====

## 1
A geometry-optimized Tm2Fe3Si4 structure, computed with PBE-GGA.

extended XYZ file:
```
18
Lattice="6.2562 0.0000 0.0000 0.0000 6.6763 0.0000 -2.2821 0.0000 6.2728" Properties=species:S:1:pos:R:3 pbc="T T T"
Tm 1.0722 1.2046 0.3092
Tm -0.0689 2.1335 3.4457
Tm 4.0430 4.5428 2.8272
Tm 2.9019 5.4717 5.9636
Fe 0.9201 4.0423 1.6290
Fe -0.2209 5.9721 4.7654
Fe 1.9871 0.0000 3.1364
Fe 3.1281 3.3381 0.0000
Fe 4.1950 0.7042 1.5075
Fe 3.0540 2.6340 4.6439
Si -1.2518 3.8204 5.4842
Si -0.1108 6.1940 2.3477
Si 1.3952 4.4412 3.8912
Si 2.5362 5.5732 0.7547
Si 1.4379 1.1031 5.5181
Si 2.5790 2.2350 2.3817
Si 4.0849 0.4823 3.9251
Si 5.2259 2.8559 0.7887
```

Output
V: 131.0 Å³/f.u.
symmetry: P2_1/c
total magnetization: 0.095 μB per atom

=====

## 2
A geometry-optimized Tm2Fe3Si4 structure, computed with PBE-GGA.

extended XYZ file:
```
9
Lattice="0.0000 4.5123 5.8858 2.5682 0.0000 5.8858 2.5682 4.5123 0.0000" Properties=species:S:1:pos:R:3 pbc="T T T"
Tm 2.5682 4.5123 1.5974
Tm 2.5682 4.5123 10.1741
Fe 1.2841 2.2562 0.0000
Fe 1.2841 2.2562 5.8858
Fe 2.5682 4.5123 5.8858
Si 2.5682 2.9042 4.0412
Si 2.5682 2.9042 7.7304
Si 2.5682 6.1205 4.0412
Si 2.5682 6.1205 7.7304
```

Output
V: 136.4 Å³/f.u.
symmetry: Fmmm
total magnetization: 0.399 μB per atom

=====

Which one sits at the bottom of the stability order? 2 does.

=====

## 1
A geometry-optimized U2Fe3Si5 structure, computed with PBE-GGA.

extended XYZ file:
```
20
Lattice="1.9978 -11.4982 0.0000 1.9978 11.4982 0.0000 0.0000 0.0000 6.3071" Properties=species:S:1:pos:R:3 pbc="T T T"
U 1.9978 10.9442 3.1536
U 1.9978 3.9407 3.4303
U 1.9978 -3.9407 0.2768
U 1.9978 -10.9442 0.0000
Fe 1.9978 9.1293 1.6893
Fe 1.9978 5.2008 0.4013
Fe 1.9978 1.2043 1.7894
Fe 1.9978 -1.2043 4.9430
Fe 1.9978 -5.2008 3.5549
Fe 1.9978 -9.1293 4.8429
Si 1.9978 9.1937 5.4825
Si 1.9978 6.7398 2.2746
Si 1.9978 6.5945 4.7927
Si 1.9978 2.8909 0.0715
Si 1.9978 1.1815 4.2218
Si 1.9978 -1.1815 1.0683
Si 1.9978 -2.8909 3.2251
Si 1.9978 -6.5945 1.6392
Si 1.9978 -6.7398 5.4281
Si 1.9978 -9.1937 2.3289
```

Output
V: 144.9 Å³/f.u.
symmetry: Cmc2_1
total magnetization: 0.065 μB per atom

=====

## 2
A geometry-optimized U2Fe3Si5 structure, computed with PBE-GGA.

extended XYZ file:
```
20
Lattice="5.4341 -5.6814 0.0000 5.4341 5.6814 0.0000 -2.6872 0.0000 4.7431" Properties=species:S:1:pos:R:3 pbc="T T T"
U 1.8928 1.5841 1.0739
U 0.5492 -1.5841 3.4454
U 7.6318 1.5841 1.2976
U 6.2882 -1.5841 3.6691
Fe 3.3430 4.0454 1.7067
Fe 6.1816 4.0454 0.6649
Fe 4.7623 0.0034 1.1858
Fe 3.4187 -0.0034 3.5573
Fe 1.9994 -4.0454 4.0782
Fe 4.8380 -4.0454 3.0364
Si 3.4187 5.5323 3.5573
Si 1.4272 1.0879 3.9452
Si 3.4187 2.5410 3.5573
Si 4.7623 2.3531 1.1858
Si 2.7708 -1.0879 1.5737
Si 5.4102 1.0879 3.1694
Si 3.4187 -2.3531 3.5573
Si 4.7623 -2.5410 1.1858
Si 6.7538 -1.0879 0.7978
Si 4.7623 -5.5323 1.1858
```

Output
V: 146.4 Å³/f.u.
symmetry: C2/c
total magnetization: 0.230 μB per atom

=====

Which one sits at the bottom of the stability order? 1 does.

=====

## 1
A geometry-optimized V3FeSi structure, computed with PBE-GGA.

extended XYZ file:
```
5
Lattice="4.3607 0.0000 0.0000 0.0000 4.3607 0.0000 0.0000 0.0000 4.3607" Properties=species:S:1:pos:R:3 pbc="T T T"
V 0.0000 0.0000 2.1804
V 0.0000 2.1804 0.0000
V 2.1804 0.0000 0.0000
Fe 2.1804 2.1804 2.1804
Si 0.0000 0.0000 0.0000
```

Output
V: 82.9 Å³/f.u.
symmetry: Pm-3m
total magnetization: 0.163 μB per atom

=====

## 2
A geometry-optimized V3FeSi structure, computed with PBE-GGA.

extended XYZ file:
```
5
Lattice="4.2505 0.0000 0.0000 0.0000 4.2505 0.0000 0.0000 0.0000 4.2505" Properties=species:S:1:pos:R:3 pbc="T T T"
V 0.0000 0.0000 2.1253
V 0.0000 2.1253 0.0000
V 2.1253 0.0000 0.0000
Fe 0.0000 0.0000 0.0000
Si 2.1253 2.1253 2.1253
```

Output
V: 76.8 Å³/f.u.
symmetry: Pm-3m
total magnetization: 0.000 μB per atom

=====

Which one sits at the bottom of the stability order? 1 does.

=====

## 1
A geometry-optimized FeSi2W structure, computed with PBE-GGA.

extended XYZ file:
```
4
Lattice="4.3498 -1.4194 0.0000 4.3498 1.4194 0.0000 -1.3413 0.0000 4.1781" Properties=species:S:1:pos:R:3 pbc="T T T"
Fe 0.0000 0.0000 0.0000
Si 1.1488 0.0000 3.6419
Si 3.6680 0.0000 2.3179
W 6.0302 0.0000 1.5315
```

Output
V: 51.6 Å³/f.u.
symmetry: Cm
total magnetization: 0.001 μB per atom

=====

## 2
A geometry-optimized FeSi2W structure, computed with PBE-GGA.

extended XYZ file:
```
4
Lattice="3.1236 0.0000 0.0000 0.0000 3.1236 0.0000 0.0000 0.0000 5.3227" Properties=species:S:1:pos:R:3 pbc="T T T"
Fe 0.0000 0.0000 0.0000
Si 0.0000 0.0000 2.4251
Si 1.5618 1.5618 1.0323
W 1.5618 1.5618 3.6730
```

Output
V: 51.9 Å³/f.u.
symmetry: P4mm
total magnetization: 0.352 μB per atom

=====

## 3
A geometry-optimized FeSi2W structure, computed with PBE-GGA.

extended XYZ file:
```
4
Lattice="3.8877 -1.3638 0.0000 3.8877 1.3638 0.0000 -0.9684 0.0000 4.8994" Properties=species:S:1:pos:R:3 pbc="T T T"
Fe 0.0000 0.0000 0.0000
Si 1.2498 0.0000 3.8713
Si 5.5571 0.0000 1.0282
W 3.4035 0.0000 2.4497
```

Output
V: 52.0 Å³/f.u.
symmetry: C2/m
total magnetization: 0.000 μB per atom

=====

Which one sits at the bottom of the stability order? 3 does.

=====

## 1
A geometry-optimized FeSi2W structure, computed with PBE-GGA.

extended XYZ file:
```
4
Lattice="2.7962 0.0000 0.0000 0.0000 3.7506 0.0000 0.0000 0.0000 5.0143" Properties=species:S:1:pos:R:3 pbc="T T T"
Fe 0.0000 0.0000 0.0000
Si 0.0000 1.8753 1.2398
Si 0.0000 1.8753 3.7744
W 1.3981 0.0000 2.5071
```

Output
V: 52.6 Å³/f.u.
symmetry: Pmmm
total magnetization: 0.000 μB per atom

=====

## 2
A geometry-optimized FeSi2W structure, computed with PBE-GGA.

extended XYZ file:
```
4
Lattice="2.6919 0.0000 0.0000 0.0000 2.6919 0.0000 0.0000 0.0000 7.5255" Properties=species:S:1:pos:R:3 pbc="T T T"
Fe 0.0000 0.0000 0.0000
Si 0.0000 0.0000 3.7709
Si 1.3459 1.3459 1.4392
W 1.3459 1.3459 5.7648
```

Output
V: 54.5 Å³/f.u.
symmetry: P4mm
total magnetization: 0.000 μB per atom

=====

## 3
A geometry-optimized FeSi2W structure, computed with PBE-GGA.

extended XYZ file:
```
4
Lattice="-1.6167 2.1520 3.7943 1.6167 -2.1520 3.7943 1.6167 2.1520 -3.7943" Properties=species:S:1:pos:R:3 pbc="T T T"
Fe 0.0000 0.0000 0.0000
Si 1.6167 0.0000 1.8061
Si 0.0000 2.1520 1.9882
W 0.0000 0.0000 3.7943
```

Output
V: 52.8 Å³/f.u.
symmetry: Immm
total magnetization: 0.583 μB per atom

=====

## 4
A geometry-optimized FeSi2W structure, computed with PBE-GGA.

extended XYZ file:
```
4
Lattice="1.3783 0.7957 7.9398 -1.3783 0.7957 7.9398 0.0000 -1.5915 7.9398" Properties=species:S:1:pos:R:3 pbc="T T T"
Fe 0.0000 0.0000 0.0000
Si 0.0000 0.0000 6.1915
Si 0.0000 0.0000 17.6277
W 0.0000 0.0000 11.9096
```

Output
V: 52.2 Å³/f.u.
symmetry: R-3m
total magnetization: 0.101 μB per atom

=====

Which one sits at the bottom of the stability order? 2 does.

=====

## 1
A geometry-optimized ZnFeSi structure, computed with PBE-GGA.

extended XYZ file:
```
3
Lattice="0.0000 2.7604 2.7604 2.7604 0.0000 2.7604 2.7604 2.7604 0.0000" Properties=species:S:1:pos:R:3 pbc="T T T"
Zn 0.0000 0.0000 0.0000
Fe 4.1406 4.1406 4.1406
Si 2.7604 2.7604 2.7604
```

Output
V: 42.1 Å³/f.u.
symmetry: F-43m
total magnetization: 0.000 μB per atom

=====

## 2
A geometry-optimized ZnFeSi structure, computed with PBE-GGA.

extended XYZ file:
```
3
Lattice="-1.4676 1.4676 4.2455 1.4676 -1.4676 4.2455 1.4676 1.4676 -4.2455" Properties=species:S:1:pos:R:3 pbc="T T T"
Zn 0.0000 0.0000 0.0000
Fe 0.0000 0.0000 5.8022
Si 0.0000 0.0000 2.6375
```

Output
V: 36.6 Å³/f.u.
symmetry: I4mm
total magnetization: 0.000 μB per atom

=====

## 3
A geometry-optimized ZnFeSi structure, computed with PBE-GGA.

extended XYZ file:
```
6
Lattice="3.7810 0.0000 0.0000 0.0000 3.7810 0.0000 0.0000 0.0000 5.6450" Properties=species:S:1:pos:R:3 pbc="T T T"
Zn 0.9452 0.9452 0.9959
Zn 2.8357 2.8357 4.6492
Fe 0.9452 2.8357 2.8225
Fe 2.8357 0.9452 2.8225
Si 0.9452 0.9452 4.1590
Si 2.8357 2.8357 1.4860
```

Output
V: 40.3 Å³/f.u.
symmetry: P4/nmm
total magnetization: 0.135 μB per atom

=====

## 4
A geometry-optimized ZnFeSi structure, computed with PBE-GGA.

extended XYZ file:
```
3
Lattice="3.8828 0.0000 0.0000 -1.9414 3.3626 0.0000 0.0000 0.0000 2.9467" Properties=species:S:1:pos:R:3 pbc="T T T"
Zn 0.0000 0.0000 0.0000
Fe 1.9414 1.1209 1.4791
Si 0.0000 2.2417 1.4546
```

Output
V: 38.5 Å³/f.u.
symmetry: P3m1
total magnetization: 0.000 μB per atom

=====

Which one sits at the bottom of the stability order? 1 does.

=====

## 1
A geometry-optimized ZnFeSi structure, computed with PBE-GGA.

extended XYZ file:
```
3
Lattice="-1.3030 1.3030 5.7439 1.3030 -1.3030 5.7439 1.3030 1.3030 -5.7439" Properties=species:S:1:pos:R:3 pbc="T T T"
Zn 0.0000 0.0000 0.0000
Fe 0.0000 0.0000 7.6260
Si 0.0000 0.0000 3.5116
```

Output
V: 39.0 Å³/f.u.
symmetry: I4mm
total magnetization: 0.568 μB per atom

=====

## 2
A geometry-optimized ZnFeSi structure, computed with PBE-GGA.

extended XYZ file:
```
3
Lattice="0.0000 2.7544 2.7544 2.7544 0.0000 2.7544 2.7544 2.7544 0.0000" Properties=species:S:1:pos:R:3 pbc="T T T"
Zn 0.0000 0.0000 0.0000
Fe 2.7544 2.7544 2.7544
Si 1.3772 1.3772 1.3772
```

Output
V: 41.8 Å³/f.u.
symmetry: F-43m
total magnetization: 0.000 μB per atom

=====

Which one sits at the bottom of the stability order? 2 does.